Cs2ScAuI6: PBEsol geometry, meta-GGA SCAN.

Geometry as CIF:
```
data_Cs2ScAuI6
_chemical_formula_sum 'Cs8 Sc4 Au4 I24'
_space_group_name_H-M_alt 'F m -3 m'
_space_group_IT_number 225
_space_group_name_Hall '-F 4 2 3'
_cell_length_a 11.6072
_cell_length_b 11.6072
_cell_length_c 11.6072
_cell_angle_alpha 90.00
_cell_angle_beta 90.00
_cell_angle_gamma 90.00
loop_
_atom_site_label
_atom_site_type_symbol
_atom_site_fract_x
_atom_site_fract_y
_atom_site_fract_z
Cs1 Cs 0.2500 0.2500 0.2500
Sc1 Sc 0.0000 0.0000 0.0000
Au1 Au 0.0000 0.0000 0.5000
I1 I 0.0000 0.0000 0.2472
```

## Properties
* crystal system: cubic
* raw formation energy: -1177 meV/atom

***

CsK2Au: PBEsol geometry, meta-GGA SCAN.

Geometry as CIF:
```
data_CsK2Au
_chemical_formula_sum 'Cs4 K8 Au4'
_space_group_name_H-M_alt 'I -4 2 d'
_space_group_IT_number 122
_space_group_name_Hall 'I -4 2bw'
_cell_length_a 11.2700
_cell_length_b 11.2700
_cell_length_c 7.0283
_cell_angle_alpha 90.00
_cell_angle_beta 90.00
_cell_angle_gamma 90.00
loop_
_atom_site_label
_atom_site_type_symbol
_atom_site_fract_x
_atom_site_fract_y
_atom_site_fract_z
Cs1 Cs 0.0000 0.0000 0.0000
K1 K 0.1285 0.7500 0.6250
Au1 Au 0.0000 0.0000 0.5000
```

## Properties
* crystal system: tetragonal
* ΔE_f: -0.166 eV per atom

***

Cs2KAu2: PBEsol geometry, meta-GGA SCAN.

Geometry as CIF:
```
data_Cs2KAu2
_chemical_formula_sum 'Cs4 K2 Au4'
_space_group_name_H-M_alt 'P 4/m b m'
_space_group_IT_number 127
_space_group_name_Hall '-P 4 2ab'
_cell_length_a 9.8715
_cell_length_b 9.8715
_cell_length_c 3.9933
_cell_angle_alpha 90.00
_cell_angle_beta 90.00
_cell_angle_gamma 90.00
loop_
_atom_site_label
_atom_site_type_symbol
_atom_site_fract_x
_atom_site_fract_y
_atom_site_fract_z
Cs1 Cs 0.1319 0.3681 0.0000
K1 K 0.0000 0.0000 0.0000
Au1 Au 0.1679 0.6679 0.5000
```

## Properties
* crystal system: tetragonal
* ΔE_f: -0.272 eV per atom

***

CsKAu2: PBEsol geometry, meta-GGA SCAN.

Geometry as CIF:
```
data_CsKAu2
_chemical_formula_sum 'Cs4 K4 Au8'
_space_group_name_H-M_alt 'F m -3 m'
_space_group_IT_number 225
_space_group_name_Hall '-F 4 2 3'
_cell_length_a 8.0378
_cell_length_b 8.0378
_cell_length_c 8.0378
_cell_angle_alpha 90.00
_cell_angle_beta 90.00
_cell_angle_gamma 90.00
loop_
_atom_site_label
_atom_site_type_symbol
_atom_site_fract_x
_atom_site_fract_y
_atom_site_fract_z
Cs1 Cs 0.0000 0.0000 0.0000
K1 K 0.0000 0.0000 0.5000
Au1 Au 0.2500 0.2500 0.2500
```

## Properties
* crystal system: cubic
* ΔE_f: -0.377 eV per atom

***

CsK2AuO2: PBEsol geometry, meta-GGA SCAN.

Geometry as CIF:
```
data_CsK2AuO2
_chemical_formula_sum 'Cs4 K8 Au4 O8'
_space_group_name_H-M_alt 'P n m a'
_space_group_IT_number 62
_cell_length_a 12.3735
_cell_length_b 7.2620
_cell_length_c 6.2462
_cell_angle_alpha 90.00
_cell_angle_beta 90.00
_cell_angle_gamma 90.00
loop_
_space_group_symop_operation_xyz
'x,y,z'
'-x,-y,-z'
'-x+1/2,-y,z+1/2'
'x+1/2,y,-z+1/2'
'x+1/2,-y+1/2,-z+1/2'
'-x+1/2,y+1/2,z+1/2'
'-x,y+1/2,-z'
'x,-y+1/2,z'
loop_
_atom_site_label
_atom_site_type_symbol
_atom_site_fract_x
_atom_site_fract_y
_atom_site_fract_z
Cs1 Cs 0.0952 0.2500 0.1864
K1 K 0.1394 0.9996 0.6474
Au1 Au 0.1215 0.7500 0.1816
O1 O 0.0185 0.7500 0.4282
O2 O 0.2250 0.7500 0.9362
```

## Properties
* crystal system: orthorhombic
* raw formation energy: -1213 meV/atom

***

CsLa2AuO: PBEsol geometry, meta-GGA SCAN.

Geometry as CIF:
```
data_CsLa2AuO
_chemical_formula_sum 'Cs1 La2 Au1 O1'
_space_group_name_H-M_alt 'P 4/m m m'
_space_group_IT_number 123
_space_group_name_Hall '-P 4 2'
_cell_length_a 5.8725
_cell_length_b 5.8725
_cell_length_c 4.4204
_cell_angle_alpha 90.00
_cell_angle_beta 90.00
_cell_angle_gamma 90.00
loop_
_atom_site_label
_atom_site_type_symbol
_atom_site_fract_x
_atom_site_fract_y
_atom_site_fract_z
Cs1 Cs 0.0000 0.0000 0.0000
La1 La 0.0000 0.5000 0.0000
Au1 Au 0.5000 0.5000 0.5000
O1 O 0.0000 0.0000 0.5000
```

## Properties
* crystal system: tetragonal
* raw formation energy: 473 meV/atom

***

CsLi3Au: PBEsol geometry, meta-GGA SCAN.

Geometry as CIF:
```
data_CsLi3Au
_chemical_formula_sum 'Cs1 Li3 Au1'
_space_group_name_H-M_alt 'P m -3 m'
_space_group_IT_number 221
_space_group_name_Hall '-P 4 2 3'
_cell_length_a 5.2538
_cell_length_b 5.2538
_cell_length_c 5.2538
_cell_angle_alpha 90.00
_cell_angle_beta 90.00
_cell_angle_gamma 90.00
loop_
_atom_site_label
_atom_site_type_symbol
_atom_site_fract_x
_atom_site_fract_y
_atom_site_fract_z
Cs1 Cs 0.0000 0.0000 0.0000
Li1 Li 0.0000 0.5000 0.5000
Au1 Au 0.5000 0.5000 0.5000
```

## Properties
* crystal system: cubic
* ΔE_f: -0.165 eV per atom

***

CsLiZrAu2: PBEsol geometry, meta-GGA SCAN.

Geometry as CIF:
```
data_CsLiZrAu2
_chemical_formula_sum 'Cs1 Li1 Zr1 Au2'
_space_group_name_H-M_alt 'P 4/m m m'
_space_group_IT_number 123
_space_group_name_Hall '-P 4 2'
_cell_length_a 4.8228
_cell_length_b 4.8228
_cell_length_c 4.7419
_cell_angle_alpha 90.00
_cell_angle_beta 90.00
_cell_angle_gamma 90.00
loop_
_atom_site_label
_atom_site_type_symbol
_atom_site_fract_x
_atom_site_fract_y
_atom_site_fract_z
Cs1 Cs 0.0000 0.0000 0.0000
Li1 Li 0.0000 0.0000 0.5000
Zr1 Zr 0.5000 0.5000 0.0000
Au1 Au 0.0000 0.5000 0.5000
```

## Properties
* crystal system: tetragonal
* ΔE_f: 0.540 eV per atom